1.
This record from the Alexandria database describes crystalline SnI4 at its relaxed geometry. The functional is PBE-GGA.

Geometry as extended XYZ:
```
40
Lattice="13.1709 0.0000 0.0000 0.0000 13.1709 0.0000 0.0000 0.0000 13.1709" Properties=species:S:1:pos:R:3 pbc="T T T"
Sn 1.7715 1.7715 1.7715
Sn 1.7715 4.8140 8.3569
Sn 4.8140 8.3569 1.7715
Sn 4.8140 11.3994 8.3569
Sn 8.3569 1.7715 4.8140
Sn 8.3569 4.8140 11.3994
Sn 11.3994 8.3569 4.8140
Sn 11.3994 11.3994 11.3994
I 0.0395 3.2487 6.9751
I 0.0395 3.3368 0.3896
I 0.3896 0.0395 3.3368
I 0.3896 6.5460 9.9222
I 3.2487 6.9751 0.0395
I 3.2532 9.8386 9.9177
I 3.2532 9.9177 3.3323
I 3.2487 12.7813 6.6249
I 3.3368 0.3896 0.0395
I 3.3323 3.2532 9.9177
I 3.3323 3.3323 3.3323
I 3.3368 6.1958 6.6249
I 6.1958 6.6249 3.3368
I 6.1958 13.1314 9.9222
I 6.5460 9.8341 6.9751
I 6.5460 9.9222 0.3896
I 6.6249 3.2487 12.7813
I 6.6249 3.3368 6.1958
I 6.9751 0.0395 3.2487
I 6.9751 6.5460 9.8341
I 9.8341 6.9751 6.5460
I 9.8386 9.8386 9.8386
I 9.8386 9.9177 3.2532
I 9.8341 12.7813 13.1314
I 9.9222 0.3896 6.5460
I 9.9177 3.2532 9.8386
I 9.9177 3.3323 3.2532
I 9.9222 6.1958 13.1314
I 12.7813 6.6249 3.2487
I 12.7813 13.1314 9.8341
I 13.1314 9.8341 12.7813
I 13.1314 9.9222 6.1958
```

Energy above the lowest structure with this stoichiometry   0.0 kJ per mole of atoms
Calculated volume   57.1 Å³/atom
Electronic total energy   -2.39 eV/atom
Theoretical density   3.6 g cm⁻³

---

2.
This record from the Alexandria database describes crystalline Sn4I at its relaxed geometry. The functional is PBE-GGA.

Geometry as extended XYZ:
```
5
Lattice="5.8551 0.0000 0.0000 0.0000 5.8551 0.0000 0.0000 0.0000 5.8551" Properties=species:S:1:pos:R:3 pbc="T T T"
Sn 0.0000 0.0000 0.0000
Sn 0.0000 2.9275 2.9275
Sn 2.9275 0.0000 2.9275
Sn 2.9275 2.9275 0.0000
I 2.9275 2.9275 2.9275
```

Calculated volume   40.1 Å³/atom
Electronic total energy   -2.72 eV/atom
Theoretical density   5.0 g cm⁻³

---

3.
This record from the Alexandria database describes crystalline SnI3 at its relaxed geometry. The functional is PBE-GGA.

Geometry as extended XYZ:
```
4
Lattice="0.0000 4.1027 4.1027 4.1027 0.0000 4.1027 4.1027 4.1027 0.0000" Properties=species:S:1:pos:R:3 pbc="T T T"
Sn 0.0000 0.0000 0.0000
I 2.0514 2.0514 2.0514
I 4.1027 4.1027 4.1027
I 6.1541 6.1541 6.1541
```

Calculated volume   34.5 Å³/atom
Electronic total energy   -2.09 eV/atom
Theoretical density   6.0 g cm⁻³

---

4.
This record from the Alexandria database describes crystalline SnI4 at its relaxed geometry. The functional is PBE-GGA.

Geometry as extended XYZ:
```
10
Lattice="0.0000 6.9094 6.9094 6.9094 0.0000 6.9094 6.9094 6.9094 0.0000" Properties=species:S:1:pos:R:3 pbc="T T T"
Sn 1.7274 1.7274 1.7274
Sn 12.0915 12.0915 12.0915
I 10.5306 6.7429 6.7429
I 3.2882 3.2882 3.2882
I 7.0759 7.0759 3.2882
I 7.0759 3.2882 7.0759
I 6.7429 10.5306 6.7429
I 6.7429 6.7429 10.5306
I 10.5306 10.5306 10.5306
I 3.2882 7.0759 7.0759
```

Energy above the lowest structure with this stoichiometry   1.7 kJ per mole of atoms
Calculated volume   66.0 Å³/atom
Electronic total energy   -2.37 eV/atom
Theoretical density   3.2 g cm⁻³

---

5.
This record from the Alexandria database describes crystalline SnI3 at its relaxed geometry. The functional is PBE-GGA.

Geometry as extended XYZ:
```
8
Lattice="1.9459 -7.5635 0.0000 1.9459 7.5635 0.0000 0.0000 0.0000 12.8263" Properties=species:S:1:pos:R:3 pbc="T T T"
Sn 1.9459 4.5459 9.6197
Sn 1.9459 -4.5459 3.2066
I 1.9459 5.3793 3.2066
I 1.9459 1.8244 1.1645
I 1.9459 1.8244 5.2487
I 1.9459 -1.8244 7.5776
I 1.9459 -1.8244 11.6618
I 1.9459 -5.3793 9.6197
```

Calculated volume   47.2 Å³/atom
Electronic total energy   -2.46 eV/atom
Theoretical density   4.4 g cm⁻³

---

6.
This record from the Alexandria database describes crystalline Sn2I3 at its relaxed geometry. The functional is PBE-GGA.

Geometry as extended XYZ:
```
10
Lattice="3.8203 2.2057 8.3265 -3.8203 2.2057 8.3265 0.0000 -4.4114 8.3265" Properties=species:S:1:pos:R:3 pbc="T T T"
Sn 0.0000 0.0000 4.0141
Sn 0.0000 0.0000 8.4757
Sn 0.0000 0.0000 16.5040
Sn 0.0000 0.0000 20.9655
I -2.5514 -0.0079 10.4082
I -1.2689 -2.2135 14.5714
I 1.2825 -2.2057 10.4082
I -1.2825 2.2057 14.5714
I 1.2689 2.2135 10.4082
I 2.5514 0.0079 14.5714
```

Calculated volume   42.1 Å³/atom
Electronic total energy   -2.78 eV/atom
Theoretical density   4.9 g cm⁻³

---

7.
This record from the Alexandria database describes crystalline SnI4 at its relaxed geometry. The functional is PBE-GGA.

Geometry as extended XYZ:
```
5
Lattice="6.0355 0.0000 0.0000 0.0000 6.0355 0.0000 0.0000 0.0000 6.0355" Properties=species:S:1:pos:R:3 pbc="T T T"
Sn 0.0000 0.0000 0.0000
I 0.0000 0.0000 3.0178
I 0.0000 3.0178 0.0000
I 3.0178 0.0000 0.0000
I 3.0178 3.0178 3.0178
```

Energy above the lowest structure with this stoichiometry   34.4 kJ per mole of atoms
Calculated volume   44.0 Å³/atom
Electronic total energy   -2.03 eV/atom
Theoretical density   4.7 g cm⁻³

---

8.
This record from the Alexandria database describes crystalline Sn3I7 at its relaxed geometry. The functional is PBE-GGA.

Geometry as extended XYZ:
```
20
Lattice="11.1543 0.0000 0.0000 -5.5772 9.6599 0.0000 0.0000 0.0000 7.1989" Properties=species:S:1:pos:R:3 pbc="T T T"
Sn 0.0000 3.7245 0.0000
Sn -2.3517 7.7977 0.0000
Sn 3.2255 1.8623 3.5995
Sn 2.3517 7.7977 0.0000
Sn 7.9288 1.8623 3.5995
Sn 5.5772 5.9354 3.5995
I -2.0722 5.2436 5.4342
I 0.0000 2.4531 2.9881
I -3.4527 8.4334 2.9881
I 2.1245 1.2266 6.5876
I 0.0000 6.4400 1.6371
I 2.0722 5.2436 5.4342
I 0.0000 8.8327 5.4342
I 5.5772 0.8272 1.8347
I 3.5050 4.4164 1.8347
I 5.5772 3.2200 5.2366
I 3.4527 8.4334 2.9881
I 9.0299 1.2266 6.5876
I 5.5772 7.2068 6.5876
I 7.6494 4.4164 1.8347
```

Calculated volume   38.8 Å³/atom
Electronic total energy   -2.62 eV/atom
Theoretical density   5.3 g cm⁻³

---

9.
This record from the Alexandria database describes crystalline SnI3 at its relaxed geometry. The functional is PBE-GGA.

Geometry as extended XYZ:
```
4
Lattice="6.0194 0.0000 0.0000 0.0000 6.0194 0.0000 0.0000 0.0000 6.0194" Properties=species:S:1:pos:R:3 pbc="T T T"
Sn 0.0000 0.0000 0.0000
I 0.0000 0.0000 3.0097
I 0.0000 3.0097 0.0000
I 3.0097 0.0000 0.0000
```

Calculated volume   54.5 Å³/atom
Electronic total energy   -2.39 eV/atom
Theoretical density   3.8 g cm⁻³

---

10.
This record from the Alexandria database describes crystalline SnI3 at its relaxed geometry. The functional is PBE-GGA.

Geometry as extended XYZ:
```
8
Lattice="-4.0909 4.0909 5.9876 4.0909 -4.0909 5.9876 4.0909 4.0909 -5.9876" Properties=species:S:1:pos:R:3 pbc="T T T"
Sn 0.0000 0.0000 0.0000
Sn 0.0000 0.0000 5.9876
I 5.4744 1.3835 0.0000
I 0.0000 0.0000 2.9938
I 1.3835 2.7074 0.0000
I 2.7074 1.3835 5.9876
I 0.0000 0.0000 8.9813
I -1.3835 2.7074 5.9876
```

Calculated volume   50.1 Å³/atom
Electronic total energy   -2.42 eV/atom
Theoretical density   4.1 g cm⁻³

---

11.
This record from the Alexandria database describes crystalline SnI3 at its relaxed geometry. The functional is PBE-GGA.

Geometry as extended XYZ:
```
8
Lattice="-5.3853 5.3853 3.0622 5.3853 -5.3853 3.0622 5.3853 5.3853 -3.0622" Properties=species:S:1:pos:R:3 pbc="T T T"
Sn 0.0000 0.0000 0.0000
Sn 0.0000 5.3853 1.5311
I 8.0780 1.4203 -0.7655
I 5.3853 0.0000 1.5311
I 1.4203 2.6927 0.7655
I 0.0000 0.0000 3.0622
I -2.6927 3.9651 2.2966
I 3.9651 2.6927 3.8277
```

Calculated volume   44.4 Å³/atom
Electronic total energy   -2.35 eV/atom
Theoretical density   4.7 g cm⁻³

---

12.
This record from the Alexandria database describes crystalline Sn2I at its relaxed geometry. The functional is PBE-GGA.

Geometry as extended XYZ:
```
6
Lattice="0.0000 4.5537 4.5537 4.5537 0.0000 4.5537 4.5537 4.5537 0.0000" Properties=species:S:1:pos:R:3 pbc="T T T"
Sn 0.0000 0.0000 0.0000
Sn 2.2768 2.2768 0.0000
Sn 2.2768 0.0000 2.2768
Sn 0.0000 2.2768 2.2768
I 3.4153 3.4153 3.4153
I 5.6921 5.6921 5.6921
```

Calculated volume   31.5 Å³/atom
Electronic total energy   -3.03 eV/atom
Theoretical density   6.4 g cm⁻³